This record from Alexandria describes a geometry-optimized NdPt2Au2 structure. The functional is PBE.

Properties
electronic total energy	-0.192	hartree per atom
crystal system	tetragonal
symmetry	I4/mmm (139)

a b c (Å): 4.001 4.001 13.332
angles (deg): 98.63 98.63 90.00
Atoms (fractional coordinates):
Nd1 0.623 0.623 0.246
Nd2 0.377 0.377 0.754
Pt1 0.750 0.250 0.500
Pt2 0.924 0.924 0.848
Pt3 0.076 0.076 0.152
Pt4 0.250 0.750 0.500
Au1 0.000 0.500 0.000
Au2 0.177 0.177 0.354
Au3 0.500 0.000 0.000
Au4 0.823 0.823 0.646